VASP calculation (PBE) on PmYSc2 after structural relaxation.

Cell: 3.5045 5.8244 5.8244 Å, 105.90 90.00 90.00°
Closest atoms and distances in Å follow each position.
Atoms (fractional coordinates):
Pm  0.5000  0.5000  0.0000  8 Sc 3.40, 2 Pm 3.50, 2 Y 3.51
Y  0.5000  0.0000  0.5000  8 Sc 3.40, 2 Y 3.50, 2 Pm 3.51
Sc  0.0000  0.0000  0.0000  4 Y 3.40, 4 Pm 3.40, 4 Sc 3.50-3.51
Sc  0.0000  0.5000  0.5000  4 Pm 3.40, 4 Y 3.40, 4 Sc 3.50-3.51

Properties
The offset from the most stable computed form comes out at 0.000 eV/atom. Its formation energy is 0.053 eV/atom. Its space group is Cmmm. The calculation puts the spin magnetization at 0.00 μB per cell. The density of states at the Fermi level is 6.547 states/eV/f.u.

VASP calculation (PBE) on Pm4YSc2 after structural relaxation.

Cell: 6.3548 6.3548 14.8177 Å, 99.58 99.58 127.65°
Closest atoms and distances in Å follow each position.
Atoms (fractional coordinates):
Pm  0.1628  0.3369  0.4998  7 Pm 3.43-3.72, 2 Sc 3.70
Pm  0.1078  0.6084  0.1080  1 Pm 2.96, 2 Sc 3.14
Pm  0.3916  0.8922  0.3920  1 Pm 2.96, 2 Sc 3.14
Pm  0.6631  0.8372  0.0002  7 Pm 3.43-3.72, 2 Sc 3.70
Pm  0.3369  0.1628  0.9998  7 Pm 3.43-3.72, 2 Sc 3.70
Pm  0.6084  0.1078  0.6080  1 Pm 2.96, 2 Sc 3.14
Pm  0.8922  0.3916  0.8920  1 Pm 2.96, 2 Sc 3.14
Pm  0.8372  0.6631  0.5002  7 Pm 3.43-3.72, 2 Sc 3.70
Y  0.7495  0.2505  0.2500  2 Sc 3.24-3.25, 4 Pm 3.41-3.42
Y  0.2505  0.7495  0.7500  2 Sc 3.24-3.25, 4 Pm 3.41-3.42
Sc  0.5349  0.4651  0.7500  2 Sc 2.91, 2 Pm 3.14, 1 Y 3.24
Sc  0.9660  0.0340  0.7500  2 Sc 2.91, 2 Pm 3.14, 1 Y 3.25
Sc  0.4651  0.5349  0.2500  2 Sc 2.91, 2 Pm 3.14, 1 Y 3.24
Sc  0.0340  0.9660  0.2500  2 Sc 2.91, 2 Pm 3.14, 1 Y 3.25

Properties
The offset from the most stable computed form comes out at 0.003 eV/atom. Its formation energy is 0.185 eV/atom. Its space group is C2/c. The calculation puts the spin magnetization at 0.00 μB per cell. The density of states at the Fermi level is 11.012 states/eV/f.u.

VASP calculation (PBE) on Pm7Y12Sc after structural relaxation.

Cell: 9.3080 9.3080 9.3080 Å, 107.49 107.49 107.49°
Closest atoms and distances in Å follow each position.
Atoms (fractional coordinates):
Pm  0.1004  0.6845  0.9984  1 Sc 3.34, 7 Y 3.34-3.73, 3 Pm 3.39-3.57
Pm  0.3155  0.0016  0.8996  1 Sc 3.34, 7 Y 3.34-3.73, 3 Pm 3.39-3.57
Pm  0.0016  0.8996  0.3155  1 Sc 3.34, 7 Y 3.34-3.73, 3 Pm 3.39-3.57
Pm  0.5000  0.5000  0.5000  12 Y 3.59-3.65
Pm  0.9984  0.1004  0.6845  1 Sc 3.34, 7 Y 3.34-3.73, 3 Pm 3.39-3.57
Pm  0.6845  0.9984  0.1004  1 Sc 3.34, 7 Y 3.34-3.73, 3 Pm 3.39-3.57
Pm  0.8996  0.3155  0.0016  1 Sc 3.34, 7 Y 3.34-3.73, 3 Pm 3.39-3.57
Y  0.7827  0.3189  0.6083  4 Pm 3.34-3.68, 3 Y 3.36-3.66
Y  0.6811  0.3916  0.2173  4 Pm 3.34-3.68, 3 Y 3.36-3.66
Y  0.4004  0.0585  0.2980  3 Y 3.36-3.66, 5 Pm 3.37-3.73, 1 Sc 3.68
Y  0.9415  0.7020  0.5996  3 Y 3.36-3.66, 5 Pm 3.37-3.73, 1 Sc 3.68
Y  0.3916  0.2173  0.6811  4 Pm 3.34-3.68, 3 Y 3.36-3.66
Y  0.7020  0.5996  0.9415  3 Y 3.36-3.66, 5 Pm 3.37-3.73, 1 Sc 3.68
Y  0.2980  0.4004  0.0585  3 Y 3.36-3.66, 5 Pm 3.37-3.73, 1 Sc 3.68
Y  0.6083  0.7827  0.3189  4 Pm 3.34-3.68, 3 Y 3.36-3.66
Y  0.0585  0.2980  0.4004  3 Y 3.36-3.66, 5 Pm 3.37-3.73, 1 Sc 3.68
Y  0.5996  0.9415  0.7020  3 Y 3.36-3.66, 5 Pm 3.37-3.73, 1 Sc 3.68
Y  0.3189  0.6083  0.7827  4 Pm 3.34-3.68, 3 Y 3.36-3.66
Y  0.2173  0.6811  0.3916  4 Pm 3.34-3.68, 3 Y 3.36-3.66
Sc  0.0000  0.0000  0.0000  6 Pm 3.34, 6 Y 3.68

Properties
The offset from the most stable computed form comes out at 0.000 eV/atom. Its formation energy is 0.167 eV/atom. Its space group is R-3. The calculation puts the spin magnetization at 0.00 μB per cell. The density of states at the Fermi level is 36.460 states/eV/f.u.

VASP calculation (PBE) on Pm3Y2Sc4 after structural relaxation.

Cell: 5.8358 10.8847 10.8847 Å, 63.04 63.84 63.84°
Closest atoms and distances in Å follow each position.
Atoms (fractional coordinates):
Pm  0.7743  0.0476  0.2790  8 Sc 3.18-3.48, 1 Y 3.49
Pm  0.7257  0.7210  0.9524  8 Sc 3.18-3.48, 1 Y 3.49
Pm  0.2257  0.9524  0.7210  8 Sc 3.18-3.48, 1 Y 3.49
Pm  0.2743  0.2790  0.0476  8 Sc 3.18-3.48, 1 Y 3.49
Pm  0.2500  0.6522  0.3478  2 Sc 3.19, 6 Y 3.48-3.57
Pm  0.7500  0.3478  0.6522  2 Sc 3.19, 6 Y 3.48-3.57
Y  0.4439  0.2676  0.4977  4 Sc 3.36-3.52, 5 Pm 3.48-3.59, 1 Y 3.73
Y  0.0561  0.5023  0.7324  4 Sc 3.36-3.52, 5 Pm 3.48-3.59, 1 Y 3.73
Y  0.5561  0.7324  0.5023  4 Sc 3.36-3.52, 5 Pm 3.48-3.59, 1 Y 3.73
Y  0.9439  0.4977  0.2676  4 Sc 3.36-3.52, 5 Pm 3.48-3.59, 1 Y 3.73
Sc  0.4389  0.9357  0.1711  3 Sc 3.11-3.44, 5 Pm 3.18-3.48, 1 Y 3.46
Sc  0.0611  0.8289  0.0643  3 Sc 3.11-3.44, 5 Pm 3.18-3.48, 1 Y 3.46
Sc  0.5611  0.0643  0.8289  3 Sc 3.11-3.44, 5 Pm 3.18-3.48, 1 Y 3.46
Sc  0.9389  0.1711  0.9357  3 Sc 3.11-3.44, 5 Pm 3.18-3.48, 1 Y 3.46
Sc  0.1143  0.1306  0.4074  2 Sc 3.12-3.44, 4 Pm 3.27-3.45, 2 Y 3.36-3.40
Sc  0.3857  0.5926  0.8694  2 Sc 3.12-3.44, 4 Pm 3.27-3.45, 2 Y 3.36-3.40
Sc  0.8857  0.8694  0.5926  2 Sc 3.12-3.44, 4 Pm 3.27-3.45, 2 Y 3.36-3.40
Sc  0.6143  0.4074  0.1306  2 Sc 3.12-3.44, 4 Pm 3.27-3.45, 2 Y 3.36-3.40

Properties
Its formation energy is 0.116 eV/atom. Its space group is C2/c. The calculation puts the spin magnetization at 0.00 μB per cell. The density of states at the Fermi level is 14.436 states/eV/f.u.

VASP calculation (PBE) on Pm5Y8Sc after structural relaxation.

Cell: 8.4583 8.4582 8.4584 Å, 110.80 106.84 110.80°
Closest atoms and distances in Å follow each position.
Atoms (fractional coordinates):
Pm  0.0286  0.3199  0.1340  8 Y 3.37-3.57, 2 Pm 3.60
Pm  0.8660  0.8946  0.1858  8 Y 3.37-3.57, 2 Pm 3.60
Pm  0.8142  0.6801  0.7087  8 Y 3.37-3.57, 2 Pm 3.60
Pm  0.5000  0.0000  0.5000  8 Y 3.15-3.33
Pm  0.2913  0.1054  0.9714  8 Y 3.37-3.57, 2 Pm 3.60
Y  0.1705  0.7329  0.0690  1 Sc 3.14, 3 Pm 3.15-3.42
Y  0.9310  0.1015  0.6639  1 Sc 3.14, 3 Pm 3.15-3.42
Y  0.7334  0.2561  0.3377  5 Pm 3.33-3.57, 4 Y 3.60-3.72
Y  0.6623  0.3957  0.9184  5 Pm 3.33-3.57, 4 Y 3.60-3.72
Y  0.5226  0.6043  0.2666  5 Pm 3.33-3.57, 4 Y 3.60-3.72
Y  0.5624  0.8985  0.8295  1 Sc 3.14, 3 Pm 3.15-3.42
Y  0.3361  0.2671  0.4376  1 Sc 3.14, 3 Pm 3.15-3.42
Y  0.0816  0.7439  0.4774  5 Pm 3.33-3.57, 4 Y 3.60-3.72
Sc  0.2500  0.5000  0.7500  4 Y 3.14

Properties
Its formation energy is 0.245 eV/atom. Its space group is I-4. The calculation puts the spin magnetization at 0.00 μB per cell. The density of states at the Fermi level is 20.005 states/eV/f.u.

VASP calculation (PBE) on Pm8Y3Sc2 after structural relaxation.

Cell: 5.6876 7.7699 10.6134 Å, 111.47 90.03 90.00°
Closest atoms and distances in Å follow each position.
Atoms (fractional coordinates):
Pm  0.0008  0.6785  0.3569  2 Sc 3.27, 4 Pm 3.52
Pm  0.9992  0.3215  0.6431  2 Sc 3.27, 4 Pm 3.52
Pm  0.9996  0.1339  0.2678  2 Y 3.46, 2 Sc 3.53, 5 Pm 3.68-3.71
Pm  0.0004  0.8661  0.7322  2 Y 3.46, 2 Sc 3.53, 5 Pm 3.68-3.71
Pm  0.4998  0.5937  0.7776  1 Y 3.18, 3 Pm 3.18-3.52, 2 Sc 3.35-3.42
Pm  0.4998  0.1840  0.7776  1 Y 3.18, 3 Pm 3.18-3.52, 2 Sc 3.35-3.42
Pm  0.5002  0.8160  0.2224  1 Y 3.18, 3 Pm 3.18-3.52, 2 Sc 3.35-3.42
Pm  0.5002  0.4063  0.2224  1 Y 3.18, 3 Pm 3.18-3.52, 2 Sc 3.35-3.42
Y  0.5000  0.0000  0.0000  4 Pm 3.18
Y  0.0000  0.2873  0.0000  3 Y 3.31-3.62, 6 Pm 3.46-3.59
Y  0.0000  0.7127  0.0000  3 Y 3.31-3.62, 6 Pm 3.46-3.59
Sc  0.4990  0.2398  0.4795  8 Pm 3.27-3.53
Sc  0.5010  0.7602  0.5205  8 Pm 3.27-3.53

Properties
The offset from the most stable computed form comes out at 0.000 eV/atom. Its formation energy is 0.216 eV/atom. Its space group is C2/m. The calculation puts the spin magnetization at 0.00 μB per cell. The density of states at the Fermi level is 17.749 states/eV/f.u.

VASP calculation (PBE) on PmYSc4 after structural relaxation.

Cell: 5.3400 6.2870 11.3659 Å, 72.64 90.00 115.13°
Closest atoms and distances in Å follow each position.
Atoms (fractional coordinates):
Pm  0.5000  0.5000  0.0000  2 Y 3.29, 12 Sc 3.50
Pm  0.0000  0.5000  0.5000  2 Y 3.29, 12 Sc 3.50
Y  0.2500  0.0000  0.2500  2 Pm 3.29, 12 Sc 3.49-3.51
Y  0.7500  0.0000  0.7500  2 Pm 3.29, 12 Sc 3.49-3.51
Sc  0.9582  0.4164  0.2085  5 Sc 3.08-3.30
Sc  0.5418  0.5836  0.2915  5 Sc 3.08-3.30
Sc  0.0418  0.5836  0.7915  5 Sc 3.08-3.30
Sc  0.4582  0.4164  0.7085  5 Sc 3.08-3.30
Sc  0.2912  0.0824  0.5420  5 Sc 3.08-3.30
Sc  0.2088  0.9176  0.9580  5 Sc 3.08-3.30
Sc  0.7088  0.9176  0.4580  5 Sc 3.08-3.30
Sc  0.7912  0.0824  0.0420  5 Sc 3.08-3.30

Properties
Its formation energy is 0.068 eV/atom. Its space group is Immm. The calculation puts the spin magnetization at 0.00 μB per cell. The density of states at the Fermi level is 10.910 states/eV/f.u.

VASP calculation (PBE) on Pm4Y5Sc2 after structural relaxation.

Cell: 3.5132 8.5450 14.0983 Å, 122.10 97.16 90.00°
Closest atoms and distances in Å follow each position.
Atoms (fractional coordinates):
Pm  0.7238  0.6226  0.4475  1 Sc 3.31, 6 Y 3.50-3.57, 4 Pm 3.51-3.60
Pm  0.0380  0.7284  0.0761  3 Pm 3.30-3.51, 4 Sc 3.46-3.57, 4 Y 3.50-3.55
Pm  0.2762  0.3774  0.5525  1 Sc 3.31, 6 Y 3.50-3.57, 4 Pm 3.51-3.60
Pm  0.9620  0.2716  0.9239  3 Pm 3.30-3.51, 4 Sc 3.46-3.57, 4 Y 3.50-3.55
Y  0.1823  0.8901  0.3646  4 Pm 3.50-3.54, 5 Y 3.51-3.81, 2 Sc 3.53
Y  0.8177  0.1099  0.6354  4 Pm 3.50-3.54, 5 Y 3.51-3.81, 2 Sc 3.53
Y  0.1293  0.2185  0.2587  2 Sc 3.49, 4 Pm 3.50-3.57, 5 Y 3.51-3.81
Y  0.5000  0.0000  0.0000  2 Sc 3.47, 4 Pm 3.50, 6 Y 3.51-3.53
Y  0.8707  0.7815  0.7413  2 Sc 3.49, 4 Pm 3.50-3.57, 5 Y 3.51-3.81
Sc  0.5878  0.4788  0.1757  5 Pm 3.31-3.57, 5 Y 3.47-3.53, 2 Sc 3.51
Sc  0.4122  0.5212  0.8243  5 Pm 3.31-3.57, 5 Y 3.47-3.53, 2 Sc 3.51

Properties
The offset from the most stable computed form comes out at 0.043 eV/atom. Its formation energy is 0.113 eV/atom. Its space group is C2/m. The calculation puts the spin magnetization at 0.00 μB per cell. The density of states at the Fermi level is 17.818 states/eV/f.u.

VASP calculation (PBE) on Pm4Y5Sc4 after structural relaxation.

Cell: 4.9613 9.2555 9.2555 Å, 85.88 74.45 74.45°
Closest atoms and distances in Å follow each position.
Atoms (fractional coordinates):
Pm  0.9214  0.4583  0.6989  4 Sc 3.42-3.49, 3 Y 3.47-3.56, 5 Pm 3.57-3.62
Pm  0.6203  0.3011  0.4583  4 Sc 3.42-3.49, 3 Y 3.47-3.56, 5 Pm 3.57-3.62
Pm  0.0786  0.5417  0.3011  4 Sc 3.42-3.49, 3 Y 3.47-3.56, 5 Pm 3.57-3.62
Pm  0.3797  0.6989  0.5417  4 Sc 3.42-3.49, 3 Y 3.47-3.56, 5 Pm 3.57-3.62
Y  0.6911  0.8514  0.7664  5 Sc 3.44-3.56, 3 Pm 3.47-3.56, 4 Y 3.49-3.50
Y  0.3089  0.1486  0.2336  5 Sc 3.44-3.56, 3 Pm 3.47-3.56, 4 Y 3.49-3.50
Y  0.0000  0.0000  0.0000  8 Y 3.50, 4 Sc 3.52
Y  0.5425  0.7664  0.1486  5 Sc 3.44-3.56, 3 Pm 3.47-3.56, 4 Y 3.49-3.50
Y  0.4575  0.2336  0.8514  5 Sc 3.44-3.56, 3 Pm 3.47-3.56, 4 Y 3.49-3.50
Sc  0.7684  0.3872  0.0761  4 Pm 3.42-3.49, 6 Y 3.44-3.56, 2 Sc 3.47
Sc  0.2316  0.6128  0.9239  4 Pm 3.42-3.49, 6 Y 3.44-3.56, 2 Sc 3.47
Sc  0.8445  0.9239  0.3872  4 Pm 3.42-3.49, 6 Y 3.44-3.56, 2 Sc 3.47
Sc  0.1555  0.0761  0.6128  4 Pm 3.42-3.49, 6 Y 3.44-3.56, 2 Sc 3.47

Properties
Its formation energy is 0.050 eV/atom. Its space group is I4/m. The calculation puts the spin magnetization at 0.00 μB per cell. The density of states at the Fermi level is 20.897 states/eV/f.u.

VASP calculation (PBE) on Pm4YSc3 after structural relaxation.

Cell: 3.4684 5.6909 17.2009 Å, 127.60 95.79 90.00°
Closest atoms and distances in Å follow each position.
Atoms (fractional coordinates):
Y  0.5000  0.0000  0.0000  4 Sc 3.33, 2 Y 3.47
Sc  0.0000  0.5000  0.0000  4 Pm 3.22, 4 Y 3.33, 2 Sc 3.47
Sc  0.2057  0.2522  0.4115  4 Sc 3.11-3.47, 7 Pm 3.34-3.42
Sc  0.7943  0.7478  0.5885  4 Sc 3.11-3.47, 7 Pm 3.34-3.42
Pm  0.3998  0.1286  0.7997  4 Sc 3.22-3.34, 2 Pm 3.47
Pm  0.6002  0.8714  0.2003  4 Sc 3.22-3.34, 2 Pm 3.47
Pm  0.6894  0.6965  0.3788  5 Sc 3.34-3.42, 3 Pm 3.47-3.71
Pm  0.3106  0.3035  0.6212  5 Sc 3.34-3.42, 3 Pm 3.47-3.71

Properties
The offset from the most stable computed form comes out at 0.252 eV/atom. Its formation energy is 0.295 eV/atom. Its space group is C2/m. The calculation puts the spin magnetization at 0.00 μB per cell. The density of states at the Fermi level is 15.024 states/eV/f.u.

VASP calculation (PBE) on PmYSc2 after structural relaxation.

Cell: 3.4721 3.4721 11.2123 Å, 81.09 81.09 60.00°
Closest atoms and distances in Å follow each position.
Atoms (fractional coordinates):
Pm  0.5005  0.5005  0.4984  6 Sc 3.42-3.45, 6 Pm 3.47
Y  0.6663  0.6663  0.0011  6 Sc 3.38-3.39, 6 Y 3.47
Sc  0.0824  0.0824  0.7529  3 Y 3.39, 3 Pm 3.45, 6 Sc 3.47
Sc  0.2508  0.2508  0.2476  3 Y 3.38, 3 Pm 3.42, 6 Sc 3.47

Properties
The offset from the most stable computed form comes out at 0.023 eV/atom. Its formation energy is 0.076 eV/atom. Its space group is R3m. The calculation puts the spin magnetization at 0.00 μB per cell. The density of states at the Fermi level is 6.538 states/eV/f.u.

VASP calculation (PBE) on Pm4YSc5 after structural relaxation.

Cell: 3.5450 3.5450 22.9869 Å, 90.00 90.00 90.00°
Closest atoms and distances in Å follow each position.
Atoms (fractional coordinates):
Pm  0.0000  0.0000  0.1995  8 Sc 3.40-3.41, 4 Pm 3.54
Pm  0.0000  0.0000  0.3999  8 Sc 3.40-3.41, 4 Pm 3.54
Pm  0.0000  0.0000  0.6001  8 Sc 3.40-3.41, 4 Pm 3.54
Pm  0.0000  0.0000  0.8005  8 Sc 3.40-3.41, 4 Pm 3.54
Y  0.0000  0.0000  0.0000  8 Sc 3.39, 4 Y 3.54
Sc  0.5000  0.5000  0.0992  4 Y 3.39, 4 Pm 3.41, 4 Sc 3.54
Sc  0.5000  0.5000  0.2996  8 Pm 3.40-3.41, 4 Sc 3.54
Sc  0.5000  0.5000  0.5000  8 Pm 3.40, 4 Sc 3.54
Sc  0.5000  0.5000  0.7004  8 Pm 3.40-3.41, 4 Sc 3.54
Sc  0.5000  0.5000  0.9008  4 Y 3.39, 4 Pm 3.41, 4 Sc 3.54

Properties
Its formation energy is 0.054 eV/atom. Its space group is P4/mmm. The calculation puts the spin magnetization at 0.00 μB per cell. The density of states at the Fermi level is 16.099 states/eV/f.u.